A relaxed structure of LiPN2F. Source: Alexandria, functional PBE.

The space group is P4/mmm (No. 123) and the conventional cell measures 3.9796, 3.9796 and 3.2945 Å, with angles of 90.00, 90.00 and 90.00 degrees. The asymmetric unit holds Li at (0.0000, 0.0000, 0.0000), P at (0.5000, 0.5000, 0.5000), N at (0.0000, 0.5000, 0.0000) and F at (0.0000, 0.0000, 0.5000).

The crystal system is tetragonal. The energy relative to the elements, uncorrected is 1.123 eV per atom. The value obtained for the total energy is -20.230 eV for the cell shown.